DFT (PBE) results for a geometry-optimized Tm2Mg13 structure.

CIF file:
```
data_Tm2Mg13
_cell_length_a 7.9701
_cell_length_b 7.9701
_cell_length_c 20.9217
_cell_angle_alpha 90.00
_cell_angle_beta 90.00
_cell_angle_gamma 120.00
_space_group_name_H-M_alt 'R -3 m'
_space_group_IT_number 166
_space_group_name_Hall '-R 3 2"'
loop_
_atom_site_label
_atom_site_type_symbol
_atom_site_fract_x
_atom_site_fract_y
_atom_site_fract_z
Tm1 Tm 0.0000 0.0000 0.1572
Mg1 Mg 0.0000 0.0000 0.0000
Mg2 Mg 0.0752 0.5376 0.3808
Mg3 Mg 0.0863 0.5431 0.2306
```

Calculated values
The calculation puts the formation energy from the elements at 154 meV/atom.

=====

DFT (PBE) results for a geometry-optimized CsNiNCl2 structure.

CIF file:
```
data_CsNiNCl2
_cell_length_a 4.527
_cell_length_b 4.527
_cell_length_c 6.929
_cell_angle_alpha 90.00
_cell_angle_beta 90.00
_cell_angle_gamma 90.00
_space_group_name_H-M_alt 'P 4/m m m'
_space_group_IT_number 123
_space_group_name_Hall '-P 4 2'
loop_
_atom_site_label
_atom_site_type_symbol
_atom_site_fract_x
_atom_site_fract_y
_atom_site_fract_z
Cs1 Cs 0.000 0.000 0.000
Ni1 Ni 0.000 0.000 0.500
N1 N 0.500 0.500 0.000
Cl1 Cl 0.000 0.500 0.500
```

Calculated values
The energy relative to the elements, uncorrected is 330 meV/atom.

=====

DFT (PBE) results for a geometry-optimized CaDy2C structure.

CIF file:
```
data_CaDy2C
_cell_length_a 3.6414
_cell_length_b 3.6414
_cell_length_c 9.3876
_cell_angle_alpha 90.00
_cell_angle_beta 90.00
_cell_angle_gamma 120.00
_space_group_name_H-M_alt 'P -3 m 1'
_space_group_IT_number 164
_space_group_name_Hall '-P 3 2"'
loop_
_atom_site_label
_atom_site_type_symbol
_atom_site_fract_x
_atom_site_fract_y
_atom_site_fract_z
Ca1 Ca 0.0000 0.0000 0.0000
Dy1 Dy 0.3333 0.6667 0.6419
C1 C 0.0000 0.0000 0.5000
```

Calculated values
The calculation puts the formation energy from the elements at -183 meV/atom. The calculation puts the offset from the most stable computed form at 0 meV/atom.

=====

DFT (PBE) results for a geometry-optimized Nb2TlS3 structure.

CIF file:
```
data_Nb2TlS3
_cell_length_a 3.429
_cell_length_b 15.069
_cell_length_c 9.727
_cell_angle_alpha 90.00
_cell_angle_beta 90.00
_cell_angle_gamma 90.00
_space_group_name_H-M_alt 'C m c m'
_space_group_IT_number 63
_space_group_name_Hall '-C 2c 2'
loop_
_atom_site_label
_atom_site_type_symbol
_atom_site_fract_x
_atom_site_fract_y
_atom_site_fract_z
Nb1 Nb 0.000 0.000 0.000
Nb2 Nb 0.000 0.444 0.250
Tl1 Tl 0.000 0.246 0.750
S1 S 0.000 0.060 0.250
S2 S 0.000 0.376 0.023
```

Calculated values
The energy relative to the elements, uncorrected is -814 meV/atom.

=====

DFT (PBE) results for a geometry-optimized Pr6Sb2Te3P structure.

CIF file:
```
data_Pr6Sb2Te3P
_cell_length_a 19.711
_cell_length_b 4.455
_cell_length_c 9.062
_cell_angle_alpha 90.00
_cell_angle_beta 104.05
_cell_angle_gamma 90.00
_space_group_name_H-M_alt 'C 1 2/m 1'
_space_group_IT_number 12
_space_group_name_Hall '-C 2y'
loop_
_atom_site_label
_atom_site_type_symbol
_atom_site_fract_x
_atom_site_fract_y
_atom_site_fract_z
Pr1 Pr 0.000 0.000 0.220
Pr2 Pr 0.152 0.500 0.080
Pr3 Pr 0.167 0.500 0.578
Sb1 Sb 0.166 0.000 0.333
Te1 Te 0.000 0.500 0.500
Te2 Te 0.171 0.000 0.837
P1 P 0.000 0.500 0.000
```

Calculated values
The energy relative to the elements, uncorrected is -1421 meV/atom.

=====

DFT (PBE) results for a geometry-optimized ZrAs3O structure.

CIF file:
```
data_ZrAs3O
_cell_length_a 5.133
_cell_length_b 5.133
_cell_length_c 5.133
_cell_angle_alpha 90.00
_cell_angle_beta 90.00
_cell_angle_gamma 90.00
_space_group_name_H-M_alt 'P m -3 m'
_space_group_IT_number 221
_space_group_name_Hall '-P 4 2 3'
loop_
_atom_site_label
_atom_site_type_symbol
_atom_site_fract_x
_atom_site_fract_y
_atom_site_fract_z
Zr1 Zr 0.000 0.000 0.000
As1 As 0.000 0.000 0.500
O1 O 0.500 0.500 0.500
```

Calculated values
The calculation puts the offset from the most stable computed form at 1037 meV/atom. The energy relative to the elements, uncorrected is 777 meV/atom.

=====

| no. | density (g cm⁻³) |
| --- | --- |
| 1 | 2.83 |
| 2 | 3.23 |
| 3 | 5.81 |
| 4 | 6.43 |
| 5 | 6.46 |
| 6 | 4.08 |